[1]
Ac8Te4Rh3N (PBE, relaxed); space group = No. 12; D(E_F) = 8.74 states/eV/f.u.
1.0
7.5675 -4.3664 0.0000
7.5675 4.3664 0.0000
-5.0445 0.0000 7.8866
Ac Te Rh N
8 4 3 1
direct
0.2275 0.2275 0.7012
0.2267 0.7474 0.7005
0.2526 0.7733 0.2995
0.2621 0.2621 0.2864
0.7379 0.7379 0.7136
0.7474 0.2267 0.7005
0.7733 0.2526 0.2995
0.7725 0.7725 0.2988
0.0000 0.0000 0.0000
0.0000 0.5000 0.0000
0.5000 0.0000 0.0000
0.5000 0.5000 0.0000
0.0000 0.5000 0.5000
0.5000 0.0000 0.5000
0.5000 0.5000 0.5000
0.0000 0.0000 0.5000

---

[2]
Ac3TeRhN (PBE, relaxed); space group = No. 11; D(E_F) = 2.99 states/eV/f.u.
1.0
9.6032 0.0000 0.0000
0.0000 4.3448 0.0000
-2.4573 0.0000 9.7554
Ac Te Rh N
6 2 2 2
direct
0.0647 0.2500 0.3529
0.3336 0.2500 0.9790
0.3754 0.7500 0.6560
0.6246 0.2500 0.3440
0.6664 0.7500 0.0210
0.9353 0.7500 0.6471
0.3209 0.7500 0.2761
0.6791 0.2500 0.7239
0.1519 0.2500 0.6480
0.8481 0.7500 0.3520
0.4162 0.7500 0.8966
0.5838 0.2500 0.1034

---

[3]
AcTh2RhN4 (PBE, relaxed); space group = No. 63; D(E_F) = 4.83 states/eV/f.u.
1.0
1.7828 -6.1926 0.0000
1.7828 6.1926 0.0000
0.0000 0.0000 12.1800
Ac Th Rh N
2 4 2 8
direct
0.1082 0.8918 0.7500
0.8918 0.1082 0.2500
0.3692 0.6308 0.5558
0.3692 0.6308 0.9442
0.6308 0.3692 0.0558
0.6308 0.3692 0.4442
0.1536 0.8464 0.2500
0.8464 0.1536 0.7500
0.0000 0.0000 0.0000
0.0000 0.0000 0.5000
0.2706 0.7294 0.1136
0.2706 0.7294 0.3864
0.4500 0.5500 0.7500
0.5500 0.4500 0.2500
0.7294 0.2706 0.6136
0.7294 0.2706 0.8864

---

[4]
AcTm2RhN4 (PBE, relaxed); space group = No. 63; D(E_F) = 3.80 states/eV/f.u.
1.0
1.7696 -5.8724 0.0000
1.7696 5.8724 0.0000
0.0000 0.0000 11.5677
Ac Tm Rh N
2 4 2 8
direct
0.1132 0.8868 0.7500
0.8868 0.1132 0.2500
0.3690 0.6310 0.5455
0.3690 0.6310 0.9545
0.6310 0.3690 0.0455
0.6310 0.3690 0.4545
0.1498 0.8502 0.2500
0.8502 0.1498 0.7500
0.0000 0.0000 0.0000
0.0000 0.0000 0.5000
0.2658 0.7342 0.1181
0.2658 0.7342 0.3819
0.4292 0.5708 0.7500
0.5708 0.4292 0.2500
0.7342 0.2658 0.6181
0.7342 0.2658 0.8819

---

[5]
AcY2RhN4 (PBE, relaxed); space group = No. 63; D(E_F) = 3.70 states/eV/f.u.
1.0
1.7864 -5.9324 0.0000
1.7864 5.9324 0.0000
0.0000 0.0000 11.7345
Ac Y Rh N
2 4 2 8
direct
0.1136 0.8864 0.7500
0.8864 0.1136 0.2500
0.3690 0.6310 0.5455
0.3690 0.6310 0.9545
0.6310 0.3690 0.0455
0.6310 0.3690 0.4545
0.1501 0.8499 0.2500
0.8499 0.1501 0.7500
0.0000 0.0000 0.0000
0.0000 0.0000 0.5000
0.2674 0.7326 0.1216
0.2674 0.7326 0.3784
0.4277 0.5723 0.7500
0.5723 0.4277 0.2500
0.7326 0.2674 0.6216
0.7326 0.2674 0.8784

---

[6]
Ac5Zn2RhN (PBE, relaxed); space group = No. 36; D(E_F) = 6.91 states/eV/f.u.
1.0
2.1080 -9.5939 0.0000
2.1080 9.5939 0.0000
0.0000 0.0000 14.3745
Ac Zn Rh N
10 4 2 2
direct
0.0079 0.9921 0.5000
0.1463 0.8537 0.7249
0.1811 0.8189 0.0987
0.2158 0.7842 0.3867
0.4573 0.5427 0.7336
0.5427 0.4573 0.2336
0.7842 0.2158 0.8867
0.8189 0.1811 0.5987
0.8537 0.1463 0.2249
0.9921 0.0079 0.0000
0.3644 0.6356 0.0443
0.3907 0.6093 0.4013
0.6093 0.3907 0.9013
0.6356 0.3644 0.5443
0.2951 0.7049 0.7441
0.7049 0.2951 0.2441
0.0534 0.9466 0.1435
0.9466 0.0534 0.6435

---

Total energy values, unit eV per atom, following the record order: -5.8449; -6.2740; -8.5665; -7.6930; -8.1401; -4.8071.